Computed, not measured: crystalline NdBNO at its relaxed geometry at the PBE-GGA level of DFT.

Cell lengths 4.974, 4.974, 4.589 Å; angles 90.00, 90.00, 90.00 degrees
Sites, in units of the cell vectors:
B 0.750 0.750 0.098
B 0.250 0.250 0.902
N 0.750 0.750 0.391
N 0.250 0.250 0.609
Nd 0.750 0.250 0.500
Nd 0.250 0.750 0.500
O 0.750 0.250 0.000
O 0.250 0.750 0.000

Computed properties:
The value obtained for the total magnetization is 0.19 μB per atom. The energy relative to the lowest polymorph listed for this composition comes out at 749 meV per atom. The electronic total energy is -6.9979 eV per atom. The volume is 113.51 Å³/cell. The value obtained for the theoretical density is 5414 kg/m³. As for the crystal system: tetragonal.